Compound: CoSiMo2
Source: Alexandria via LeMat-Bulk
Functional: meta-GGA SCAN
Structure: single point on PBEsol structure

a b c (Å): 3.6091 3.6298 4.7372
angles (deg): 112.53 112.39 90.00
Fractional positions:
Co  0.0000  0.5000  0.0000
Mo  0.7500  0.7500  0.5000
Mo  0.2500  0.2500  0.5000
Si  0.5000  0.0000  0.0000

Compound: CoSiMo2
Source: Alexandria via LeMat-Bulk
Functional: meta-GGA SCAN
Structure: single point on PBEsol structure

a b c (Å): 2.6987 2.6987 8.6371
angles (deg): 81.01 81.01 60.00
Fractional positions:
Co  0.2439  0.2439  0.2683
Mo  0.9926  0.9926  0.0222
Mo  0.7554  0.7554  0.7337
Si  0.5081  0.5081  0.4757

Compound: Co2SiMo
Source: Alexandria via LeMat-Bulk
Functional: meta-GGA SCAN
Structure: single point on PBEsol structure

a b c (Å): 4.0356 4.0356 4.0356
angles (deg): 60.00 60.00 60.00
Fractional positions:
Co  0.0000  0.0000  0.0000
Co  0.7500  0.7500  0.7500
Mo  0.5000  0.5000  0.5000
Si  0.2500  0.2500  0.2500

Compound: Y2CoSiMo
Source: Alexandria via LeMat-Bulk
Functional: meta-GGA SCAN
Structure: single point on PBEsol structure

a b c (Å): 4.2899 5.0454 5.0454
angles (deg): 90.00 90.00 90.00
Fractional positions:
Y  0.0000  0.0000  0.5000
Y  0.0000  0.5000  0.0000
Mo  0.5000  0.0000  0.0000
Co  0.0000  0.0000  0.0000
Si  0.5000  0.5000  0.5000

Number 1: magnetization 0.0 μB/cell, formation energy (no corrections) -0.11 eV/atom. Number 2: magnetization 0.7 μB/cell, formation energy (no corrections) 0.19 eV/atom. Number 3: magnetization 0.0 μB/cell, formation energy (no corrections) -0.01 eV/atom. Number 4: magnetization 0.0 μB/cell, formation energy (no corrections) 0.31 eV/atom.